The following is a PBE-GGA calculation of a geometry-optimized DyScGa2Pt2 structure, from Alexandria.

Properties
The calculation puts the energy of formation from the pure elements at -1.079 eV per atom. For the total magnetization, the calculation gives 0.00 μB per formula unit. The final energy comes out at -5.9241 eV/atom.

Geometry as CIF:
```
data_DyScGa2Pt2
_chemical_formula_sum 'Dy1 Sc1 Ga2 Pt2'
_space_group_name_H-M_alt 'P 1'
_space_group_IT_number 1
_cell_length_a 4.437
_cell_length_b 4.437
_cell_length_c 6.591
_cell_angle_alpha 90.00
_cell_angle_beta 90.00
_cell_angle_gamma 120.00
loop_
_space_group_symop_operation_xyz
'x,y,z'
loop_
_atom_site_label
_atom_site_fract_x
_atom_site_fract_y
_atom_site_fract_z
Dy1 0.000 0.000 0.000
Sc1 0.000 0.000 0.500
Ga1 0.333 0.667 0.282
Ga2 0.667 0.333 0.718
Pt1 0.333 0.667 0.723
Pt2 0.667 0.333 0.277
```